1.
VASP calculation (PBE) on KZnCu after structural relaxation.

Geometry as POSCAR:
```
KZnCu
1.0
-2.4076 0.7481 -3.9071
-3.9069 -1.3047 2.1576
-1.2292 7.2192 2.1398
Zn K Cu
2 2 2
Cartesian
-2.4321 2.1588 1.9121 Zn
-1.9543 4.7821 -0.6470 Zn
-1.4190 1.6380 -1.5789 K
-2.9674 5.3029 2.8440 K
-3.7718 3.3313 0.1952 Cu
-0.6146 3.6096 1.0699 Cu
```

Values from the calculation:
- Crystal system: tetragonal

---

2.
VASP calculation (PBE) on Sb3HPd after structural relaxation.

Geometry as POSCAR:
```
Sb3HPd
1.0
-4.8515 -1.7250 1.1108
1.4810 -4.9179 -1.1692
1.4200 -0.7646 5.0145
Pd Sb H
1 3 1
Cartesian
0.0000 0.0000 0.0000 Pd
0.7405 -2.4590 -0.5846 Sb
-2.4257 -0.8625 0.5554 Sb
0.7100 -0.3823 2.5073 Sb
-0.9753 -3.7038 2.4781 H
```

Values from the calculation:
- Crystal system: cubic

---

3.
VASP calculation (PBE) on NaI2Br after structural relaxation.

Geometry as POSCAR:
```
NaI2Br
1.0
0.0000 4.1229 4.1229
4.1229 0.0000 4.1229
4.1229 4.1229 0.0000
Na Br I
1 1 2
Cartesian
0.0000 0.0000 0.0000 Na
4.1229 4.1229 4.1229 Br
2.0615 2.0615 2.0615 I
6.1844 6.1844 6.1844 I
```

Values from the calculation:
- Crystal system: cubic
- Formation energy without anion corrections: -0.210 eV per atom

---

4.
VASP calculation (PBE) on AsRh after structural relaxation.

Geometry as POSCAR:
```
AsRh
1.0
-0.6845 -1.2280 4.4840
2.6659 -3.9717 3.1646
2.0653 1.5961 1.9256
Rh As
2 2
Cartesian
1.8799 -1.7900 4.9312 Rh
0.5967 -0.4554 2.4694 Rh
2.4829 -2.2111 7.3654 As
2.0591 1.5617 1.9608 As
```

Values from the calculation:
- Crystal system: monoclinic

---

5.
VASP calculation (PBE) on YTm2Te3 after structural relaxation.

Geometry as POSCAR:
```
YTm2Te3
1.0
6.4988 0.0000 3.1123
2.5042 5.9970 3.1123
-0.1865 -0.1242 8.7306
Tm Te Y
4 6 2
Cartesian
2.8209 1.8790 10.7922 Tm
7.4156 4.9396 9.5393 Tm
5.9956 3.9938 4.1631 Tm
1.4009 0.9331 5.4161 Tm
4.9341 0.3854 9.1306 Te
4.4690 4.4046 10.1900 Te
7.3855 3.4460 6.8512 Te
1.4310 2.4267 8.1042 Te
3.8824 5.4874 5.8247 Te
4.3475 1.4682 4.7653 Te
4.4082 2.9364 7.4777 Y
0.0000 0.0000 0.0000 Y
```

Values from the calculation:
- Crystal system: trigonal
- Formation energy without anion corrections: -1.245 eV per atom

---

6.
VASP calculation (PBE) on Ho3Ga5Co6 after structural relaxation.

Geometry as POSCAR:
```
Ho3Ga5Co6
1.0
-0.0189 1.4768 3.8638
4.9135 -6.8265 2.6332
10.1284 6.3701 -2.3850
Ga Co Ho
10 12 6
Cartesian
4.1169 -5.7198 2.2063 Ga
6.2935 -0.1182 2.2902 Ga
7.6821 -3.7449 1.4690 Ga
2.2861 0.8418 1.9036 Ga
11.5035 2.1390 -0.7611 Ga
3.6747 -2.7848 1.0824 Ga
10.9450 -1.6927 0.7006 Ga
9.1516 5.1598 0.2869 Ga
8.5931 1.3281 1.7487 Ga
5.8513 2.8168 1.1663 Ga
5.9780 -2.0517 0.8135 Co
13.3240 -1.4440 0.6172 Co
4.7936 -5.9348 4.5060 Co
10.1874 3.0462 1.0998 Co
7.7677 -0.5710 0.2563 Co
6.7726 4.9110 0.3703 Co
5.1745 3.0317 -1.1334 Co
3.4288 2.8080 1.1577 Co
2.2005 -2.3320 3.1163 Co
3.9902 -0.8514 2.5591 Co
9.9092 0.4208 -0.1122 Co
6.5394 -5.7111 2.2149 Co
11.9667 0.8213 1.9589 Ho
8.8978 -1.4158 2.7989 Ho
5.5246 -3.2304 3.4759 Ho
1.0704 -1.4872 0.5737 Ho
8.1299 2.6458 -0.9714 Ho
4.4435 0.3273 -0.1033 Ho
```

Values from the calculation:
- Crystal system: orthorhombic

---

7.
VASP calculation (PBE) on Rb2USe2I4 after structural relaxation.

Geometry as POSCAR:
```
Rb2USe2I4
1.0
-4.6627 -3.3473 3.7791
4.7446 -5.7755 2.7361
3.3501 1.1291 7.1313
Se I Rb U
2 4 2 1
Cartesian
3.2903 -6.5595 11.3484 Se
0.1416 -1.4343 2.2981 Se
1.8734 -6.8521 7.5173 I
1.5585 -1.1416 6.1292 I
1.1903 -3.4701 9.6702 I
2.2416 -4.5236 3.9763 I
-0.8888 -4.1568 6.2480 Rb
4.3207 -3.8369 7.3984 Rb
-2.3313 -1.6737 1.8895 U
```

Values from the calculation:
- Crystal system: monoclinic
- Formation energy without anion corrections: -1.032 eV per atom

---

8.
VASP calculation (PBE) on RbLiGaF2 after structural relaxation.

Geometry as POSCAR:
```
RbLiGaF2
1.0
-3.2556 2.5401 -2.4371
-0.9928 -3.8977 -2.7362
-3.3814 -1.3338 3.1269
Li F Rb Ga
1 2 1 1
Cartesian
-0.4964 -1.9489 -1.3681 Li
-1.6278 1.2700 -1.2186 F
-1.6907 -0.6669 1.5634 F
-3.8149 -1.3457 -1.0232 Rb
0.0000 0.0000 0.0000 Ga
```

Values from the calculation:
- Crystal system: tetragonal
- Formation energy without anion corrections: -1.340 eV per atom

---

9.
VASP calculation (PBE) on Nd2Th3S8 after structural relaxation.

Geometry as POSCAR:
```
Nd2Th3S8
1.0
6.7608 0.0000 0.1739
0.0000 8.2652 0.0000
-2.5358 -4.1326 6.6851
S Nd Th
8 2 3
Cartesian
2.0311 -2.2240 5.0940 S
5.5645 4.1326 1.6171 S
2.1939 6.3566 1.7650 S
-1.3395 0.0000 5.2419 S
-1.4536 4.1326 5.0990 S
5.6786 0.0000 1.7600 S
2.0311 2.2240 5.0940 S
2.1939 1.9086 1.7650 S
3.2571 4.1326 3.2931 Nd
0.9679 0.0000 3.5659 Nd
0.0000 6.1608 0.0000 Th
0.0000 2.1044 0.0000 Th
3.3804 0.0000 0.0870 Th
```

Values from the calculation:
- Crystal system: monoclinic
- Formation energy without anion corrections: -1.869 eV per atom

---

10.
VASP calculation (PBE) on RbYBeAl2 after structural relaxation.

Geometry as POSCAR:
```
RbYBeAl2
1.0
5.5337 0.0000 0.0000
0.0000 5.6472 0.0000
0.0000 0.0000 5.5337
Al Be Rb Y
2 1 1 1
Cartesian
0.0000 0.0000 2.7669 Al
2.7669 0.0000 0.0000 Al
2.7669 2.8236 2.7669 Be
0.0000 0.0000 0.0000 Rb
0.0000 2.8236 0.0000 Y
```

Values from the calculation:
- Crystal system: tetragonal

---

11.
VASP calculation (PBE) on AcDyCdPb after structural relaxation.

Geometry as POSCAR:
```
AcDyCdPb
1.0
5.5973 0.0000 0.0000
2.7987 4.8474 0.0000
2.7987 1.6158 4.5702
Cd Dy Ac Pb
1 1 1 1
Cartesian
2.7987 1.6158 1.1425 Cd
0.0000 0.0000 0.0000 Dy
5.5973 3.2316 2.2851 Ac
8.3960 4.8474 3.4276 Pb
```

Values from the calculation:
- Crystal system: cubic

---

12.
VASP calculation (PBE) on B5C7 after structural relaxation.

Geometry as POSCAR:
```
B5C7
1.0
6.4106 0.2300 -1.2414
5.8385 2.6572 -1.2414
-0.0004 -0.0001 4.9621
C B
7 5
Cartesian
8.1480 1.9205 0.0134 C
2.9237 0.6891 3.6974 C
7.3062 1.7221 -1.2605 C
7.2847 1.7170 1.2576 C
11.1952 2.6387 1.2332 C
2.8949 0.6823 1.2604 C
8.1904 1.9305 2.4661 C
0.1536 0.0362 2.5598 B
0.1599 0.0377 4.8923 B
4.0266 0.9491 2.4753 B
3.8595 0.9097 0.0102 B
11.2249 2.6457 -1.2477 B
```

Values from the calculation:
- Crystal system: monoclinic

---

no.,magnetic moment (μB/f.u.),raw total energy (eV/atom)
1,0.00,-2.032
2,0.78,-3.363
3,2.00,-1.733
4,0.00,-6.290
5,0.00,-5.383
6,1.89,-5.499
7,0.00,-3.965
8,0.00,-3.270
9,0.00,-6.855
10,0.00,-1.636
11,0.00,-3.685
12,0.00,-7.804